## VInOF2 (PBE with a Hubbard U)

Data for VInOF2 after structural relaxation.

Lattice parameters (Å, degrees): 4.313 4.313 4.202 90.00 90.00 90.00
Site moments in Bohr magnetons follow the coordinates.
Element x y z (fractional)
F: 0.000 0.500 0.000  0.02
F: 0.500 0.000 0.000  0.02
V: 0.500 0.500 0.500  3.25
O: 0.000 0.000 0.500  -0.02
In: 0.000 0.000 0.000  -0.01

Output
- Space-group type: P4/mmm
- Final energy: -5.036 eV/atom
- Fermi-level density of states: 2.074 states/eV/cell